Record 1
Computed, not measured: a relaxed UCdO4 crystal at the GGA-PBE level of DFT.

Results
Symmetry   R-3m, No. 166
Formation energy from raw total energies   -2401 meV/atom
Energy above the lowest structure with this stoichiometry   52 meV per atom

a b c (Å): 6.4357 6.4357 6.4357
angles (deg): 34.88 34.88 34.88
Last column: nearest neighbours and their distance in Å.
Positions (direct):
U1 0.0000 0.0000 0.0000  2 O 2.02
Cd1 0.5000 0.5000 0.5000  8 O 2.44-2.52
O1 0.1117 0.1117 0.1117  1 U 2.02
O2 0.3610 0.3610 0.3610  3 U 2.28, 3 O 2.44, 1 Cd 2.52
O3 0.6390 0.6390 0.6390  3 U 2.28, 3 O 2.44, 1 Cd 2.52
O4 0.8883 0.8883 0.8883  1 U 2.02

Record 2
Computed, not measured: a relaxed SrLiGe2Pd5 crystal at the GGA-PBE level of DFT.

Results
ΔH_f (0 K)   -3.93 eV per formula unit
Symmetry   P4/mmm, No. 123

a b c (Å): 4.8033 4.8033 7.3184
angles (deg): 90.00 90.00 90.00
Last column: nearest neighbours and their distance in Å.
Positions (direct):
Sr1 0.0000 0.0000 0.0000  12 Pd 3.15-3.40
Li1 0.0000 0.0000 0.5000  8 Pd 2.89
Ge1 0.5000 0.5000 0.3375  1 Ge 2.38, 5 Pd 2.44-2.47
Ge2 0.5000 0.5000 0.6625  1 Ge 2.38, 5 Pd 2.44-2.47
Pd1 0.0000 0.5000 0.2795  2 Ge 2.44
Pd2 0.0000 0.5000 0.7205  2 Ge 2.44
Pd3 0.5000 0.0000 0.2795  2 Ge 2.44
Pd4 0.5000 0.0000 0.7205  2 Ge 2.44
Pd5 0.5000 0.5000 0.0000  2 Ge 2.47

Record 3
Computed, not measured: a relaxed SrMgInOs2 crystal at the GGA-PBE level of DFT.

Results
ΔH_f (0 K)   6.73 eV per formula unit
Symmetry   P4/mmm, No. 123

a b c (Å): 5.0466 5.0466 4.9977
angles (deg): 90.00 90.00 90.00
Last column: nearest neighbours and their distance in Å.
Positions (direct):
Sr1 0.0000 0.0000 0.0000  8 Os 3.55, 4 Mg 3.57
Mg1 0.5000 0.5000 0.0000  2 In 2.50
In1 0.5000 0.5000 0.5000  2 Mg 2.50, 4 Os 2.52
Os1 0.0000 0.5000 0.5000  2 In 2.52
Os2 0.5000 0.0000 0.5000  2 In 2.52

Record 4
Computed, not measured: a relaxed La2DyNpP4 crystal at the GGA-PBE level of DFT.

Results
ΔH_f (0 K)   -11.06 eV per formula unit
Symmetry   P2/m, No. 10

a b c (Å): 7.1229 4.1137 7.1628
angles (deg): 90.00 109.26 90.00
Last column: nearest neighbours and their distance in Å.
Positions (direct):
La1 0.0000 0.0000 0.0000  6 P 3.01
La2 0.5000 0.5000 0.0000  6 P 2.98
Dy1 0.0000 0.5000 0.5000  6 P 2.85-2.86
Np1 0.5000 0.0000 0.5000  6 P 2.82-2.83
P1 0.2486 0.0000 0.7319  1 Np 2.82, 2 Dy 2.86, 3 La 2.98-3.01
P2 0.2600 0.5000 0.2705  2 Np 2.83, 1 Dy 2.85, 3 La 2.98-3.01
P3 0.7400 0.5000 0.7295  2 Np 2.83, 1 Dy 2.85, 3 La 2.98-3.01
P4 0.7514 0.0000 0.2681  1 Np 2.82, 2 Dy 2.86, 3 La 2.98-3.01

Record 5
Computed, not measured: a relaxed Fe4N crystal at the GGA-PBE level of DFT.

Results
Symmetry   Pm-3m, No. 221
Formation energy from raw total energies   -40 meV/atom
Energy above the lowest structure with this stoichiometry   0 meV per atom

a b c (Å): 3.7931 3.7931 3.7931
angles (deg): 90.00 90.00 90.00
Last column: nearest neighbours and their distance in Å.
Positions (direct):
Fe1 0.0000 0.0000 0.0000  12 Fe 2.68
Fe2 0.0000 0.5000 0.5000  2 N 1.90
Fe3 0.5000 0.0000 0.5000  2 N 1.90
Fe4 0.5000 0.5000 0.0000  2 N 1.90
N1 0.5000 0.5000 0.5000  6 Fe 1.90

Record 6
Computed, not measured: a relaxed Ac3ScZn2Pd6 crystal at the GGA-PBE level of DFT.

Results
ΔH_f (0 K)   -7.59 eV per formula unit
Symmetry   P-3m1, No. 164

a b c (Å): 5.9710 5.9710 9.1235
angles (deg): 90.00 90.00 120.00
Last column: nearest neighbours and their distance in Å.
Positions (direct):
Ac1 0.0000 0.0000 0.0000  6 Pd 3.15, 6 Zn 3.47
Ac2 0.3333 0.6667 0.6395  6 Pd 3.07
Ac3 0.6667 0.3333 0.3605  6 Pd 3.07
Sc1 0.0000 0.0000 0.5000  6 Pd 2.69
Zn1 0.3333 0.6667 0.0470  3 Pd 2.70
Zn2 0.6667 0.3333 0.9530  3 Pd 2.70
Pd1 0.1749 0.3498 0.2820  1 Sc 2.69, 1 Zn 2.70, 2 Pd 2.84
Pd2 0.1749 0.8251 0.2820  1 Sc 2.69, 1 Zn 2.70, 2 Pd 2.84
Pd3 0.3498 0.1749 0.7180  1 Sc 2.69, 1 Zn 2.70, 2 Pd 2.84
Pd4 0.6502 0.8251 0.2820  1 Sc 2.69, 1 Zn 2.70, 2 Pd 2.84
Pd5 0.8251 0.1749 0.7180  1 Sc 2.69, 1 Zn 2.70, 2 Pd 2.84
Pd6 0.8251 0.6502 0.7180  1 Sc 2.69, 1 Zn 2.70, 2 Pd 2.84